Record 1
! Y3Ho4Cu4 PBE optimized geometry; values from VASP
! E (Ry/atom): -0.36837
&SYSTEM
  ibrav = 0, nat = 11, ntyp = 3
/
ATOMIC_SPECIES
Y 88.91 Y.upf
Ho 164.93 Ho.upf
Cu 63.55 Cu.upf
ATOMIC_POSITIONS crystal
Y 0.1046 0.1046 0.2093
Y 0.8954 0.8954 0.7907
Y 0.0000 0.5000 0.0000
Ho 0.3280 0.1096 0.6560
Ho 0.6720 0.4536 0.3440
Ho 0.6720 0.8904 0.3440
Ho 0.3280 0.5464 0.6560
Cu 0.2028 0.7028 0.4056
Cu 0.7972 0.2972 0.5944
Cu 0.5000 0.8325 0.0000
Cu 0.5000 0.1675 0.0000
CELL_PARAMETERS angstrom
4.8117 0.0000 0.0000
0.0000 7.3489 0.0000
-2.4058 -3.6744 7.5061

=====

Record 2
! Pr2PuO8 PBE optimized geometry; values from VASP
! ΔE_f (raw) (eV per formula unit): -23.86
&SYSTEM
  ibrav = 0, nat = 11, ntyp = 3
/
ATOMIC_SPECIES
Pr 140.91 Pr.upf
Pu 244.00 Pu.upf
O 16.00 O.upf
ATOMIC_POSITIONS crystal
Pr 0.1641 0.6686 0.3282
Pr 0.8359 0.3314 0.6718
Pu 0.5000 0.0000 0.0000
O 0.6030 0.4012 0.2061
O 0.3747 0.0681 0.7495
O 0.2286 0.2708 0.4573
O 0.0033 0.7737 0.0066
O 0.7714 0.7292 0.5427
O 0.6253 0.9319 0.2505
O 0.3970 0.5988 0.7939
O 0.9967 0.2263 0.9934
CELL_PARAMETERS angstrom
-3.3282 2.1752 -1.6998
1.2508 -1.6926 -4.6149
-2.7434 -5.2085 4.2064

=====

Record 3
! Y2TaRe PBE optimized geometry; values from VASP
! Distance to the lowest polymorph of the same formula (meV per atom): 0.0
&SYSTEM
  ibrav = 0, nat = 4, ntyp = 3
/
ATOMIC_SPECIES
Re 186.21 Re.upf
Ta 180.95 Ta.upf
Y 88.91 Y.upf
ATOMIC_POSITIONS crystal
Re 0.0000 0.0000 0.5387
Ta 0.5000 0.5000 0.6962
Y 0.0000 0.0000 0.9531
Y 0.5000 0.5000 0.3120
CELL_PARAMETERS angstrom
3.3259 0.0000 0.0000
0.0000 3.3259 0.0000
0.0000 0.0000 8.4812

=====

Record 4
! CuSiHg PBE optimized geometry; values from VASP
! Distance to the lowest polymorph of the same formula (meV per atom): 17.7
! ΔE_f (raw) (eV per formula unit): 1.01
&SYSTEM
  ibrav = 0, nat = 3, ntyp = 3
/
ATOMIC_SPECIES
Cu 63.55 Cu.upf
Hg 200.59 Hg.upf
Si 28.09 Si.upf
ATOMIC_POSITIONS crystal
Cu 0.0000 0.0000 0.0000
Hg 0.5000 0.5000 0.5000
Si 0.7500 0.7500 0.7500
CELL_PARAMETERS angstrom
-1.5531 0.1681 3.9790
-1.2761 -3.5838 1.9495
2.2744 -1.5906 3.2511

=====

Record 5
! TaRe2Mo PBE optimized geometry; values from VASP
! Distance to the lowest polymorph of the same formula (meV per atom): 56.3
&SYSTEM
  ibrav = 0, nat = 4, ntyp = 3
/
ATOMIC_SPECIES
Mo 95.94 Mo.upf
Re 186.21 Re.upf
Ta 180.95 Ta.upf
ATOMIC_POSITIONS crystal
Mo 0.2500 0.7500 0.5000
Re 0.9998 0.9998 0.0000
Re 0.5002 0.5002 0.0000
Ta 0.7500 0.2500 0.5000
CELL_PARAMETERS angstrom
-3.3383 3.2150 2.4841
-2.2598 -1.8195 4.3856
4.5699 1.1005 -2.3571

=====

Record 6
! Ru2PbSe PBE optimized geometry; values from VASP
! Distance to the lowest polymorph of the same formula (meV per atom): 0.1
! ΔE_f (raw) (eV per formula unit): 0.92
&SYSTEM
  ibrav = 0, nat = 4, ntyp = 3
/
ATOMIC_SPECIES
Pb 207.20 Pb.upf
Ru 101.07 Ru.upf
Se 78.96 Se.upf
ATOMIC_POSITIONS crystal
Pb 0.5000 0.5000 0.8065
Ru 0.0000 0.0000 0.0449
Ru 0.5000 0.5000 0.2425
Se 0.0000 0.0000 0.4061
CELL_PARAMETERS angstrom
3.0256 -0.0020 0.0000
0.0017 3.0256 0.0000
0.0000 0.0000 8.6810